No. 1
Entry from Alexandria via LeMat-Bulk: an optimized crystal structure of PbAu2I2 (PBE).

It has space group I4/mmm (No. 139), with a = 3.889 Å, b = 3.889 Å, c = 21.938 Å, α = 90.00°, β = 90.00° and γ = 90.00°. The distinct sites, in fractional coordinates, are Pb at (0.000, 0.000, 0.000), Au at (0.000, 0.500, 0.250) and I at (0.000, 0.000, 0.410).

The formation energy (no corrections) is -0.03 eV per atom. Its total moment is 0.00 μB/f.u.

No. 2
Entry from Alexandria via LeMat-Bulk: an optimized crystal structure of Na2PaSnS6 (PBE).

It has space group R3 (No. 146, hexagonal axes), with a = 6.9500 Å, b = 6.9500 Å, c = 17.9254 Å, α = 90.00°, β = 90.00° and γ = 120.00°. The distinct sites, in fractional coordinates, are Na at (0.0000, 0.0000, 0.0000), Na at (0.0000, 0.0000, 0.4987), Pa at (0.0000, 0.0000, 0.7126), Sn at (0.0000, 0.0000, 0.2134), S at (0.0685, 0.3364, 0.2916) and S at (0.0720, 0.7290, 0.7933).

The formation energy (no corrections) is -0.87 eV per atom. Its total moment is 0.00 μB/f.u.

No. 3
Entry from Alexandria via LeMat-Bulk: an optimized crystal structure of YCd2SbCl (PBE).

It has space group P4/mmm (No. 123), with a = 6.009 Å, b = 6.009 Å, c = 4.988 Å, α = 90.00°, β = 90.00° and γ = 90.00°. The distinct sites, in fractional coordinates, are Y at (0.000, 0.000, 0.000), Cd at (0.000, 0.500, 0.000), Sb at (0.500, 0.500, 0.500) and Cl at (0.000, 0.000, 0.500).

The formation energy (no corrections) is 0.06 eV per atom. Its total moment is 0.00 μB/f.u.

No. 4
Entry from Alexandria via LeMat-Bulk: an optimized crystal structure of Sm3Sc5Tl2 (PBE).

It has space group Ibam (No. 72), with a = 12.373 Å, b = 14.874 Å, c = 6.131 Å, α = 90.00°, β = 90.00° and γ = 90.00°. The distinct sites, in fractional coordinates, are Sm at (0.000, 0.000, 0.250), Sm at (0.110, 0.248, 0.000), Sc at (0.000, 0.500, 0.250), Sc at (0.129, 0.343, 0.500), Sc at (0.240, 0.500, 0.250) and Tl at (0.146, 0.150, 0.500).

The value obtained for the energy of formation from the pure elements is 0.057 eV per atom. Its total moment is 0.45 μB/f.u.

No. 5
Entry from Alexandria via LeMat-Bulk: an optimized crystal structure of TaBiOF2 (PBE).

It has space group P4/mmm (No. 123), with a = 4.517 Å, b = 4.517 Å, c = 4.708 Å, α = 90.00°, β = 90.00° and γ = 90.00°. The distinct sites, in fractional coordinates, are Ta at (0.000, 0.000, 0.000), Bi at (0.500, 0.500, 0.500), O at (0.500, 0.500, 0.000) and F at (0.000, 0.500, 0.500).

The formation energy (no corrections) is -0.24 eV per atom. Its total moment is 3.97 μB/f.u. The value obtained for the excess energy over the best structure of this formula in the dataset is 587.3 kJ/mol of formula units.

No. 6
Entry from Alexandria via LeMat-Bulk: an optimized crystal structure of NaCeP2O7 (PBE).

It has space group Pnma (No. 62), with a = 8.721 Å, b = 5.334 Å, c = 12.792 Å, α = 90.00°, β = 90.00° and γ = 90.00°. The distinct sites, in fractional coordinates, are Na at (0.120, 0.250, 0.077), Ce at (0.190, 0.250, 0.764), P at (0.011, 0.250, 0.316), P at (0.241, 0.750, 0.966), O at (0.067, 0.007, 0.263), O at (0.078, 0.250, 0.433), O at (0.163, 0.750, 0.679), O at (0.166, 0.513, 0.920) and O at (0.241, 0.750, 0.084).

The formation energy (no corrections) is -2.61 eV per atom. Its total moment is 1.00 μB/f.u.

No. 7
Entry from Alexandria via LeMat-Bulk: an optimized crystal structure of MgFeC2 (PBE).

It has space group I-42d (No. 122), with a = 4.681 Å, b = 4.681 Å, c = 8.977 Å, α = 90.00°, β = 90.00° and γ = 90.00°. The distinct sites, in fractional coordinates, are Mg at (0.000, 0.000, 0.000), Fe at (0.000, 0.000, 0.500) and C at (0.163, 0.250, 0.625).

The value obtained for the energy of formation from the pure elements is 0.730 eV per atom. Its total moment is 0.00 μB/f.u.

No. 8
Entry from Alexandria via LeMat-Bulk: an optimized crystal structure of Rb12Au5Cl2 (PBE).

It has space group C2/m (No. 12), with a = 19.644 Å, b = 9.242 Å, c = 11.101 Å, α = 90.00°, β = 106.15° and γ = 90.00°. The distinct sites, in fractional coordinates, are Rb at (0.002, 0.000, 0.227), Rb at (0.016, 0.500, 0.807), Rb at (0.148, 0.251, 0.566), Rb at (0.175, 0.235, 0.099), Au at (0.000, 0.500, 0.500), Au at (0.186, 0.000, 0.843), Au at (0.199, 0.000, 0.355) and Cl at (0.000, 0.242, 0.000).

The formation energy (no corrections) is -0.52 eV per atom. Its total moment is 0.00 μB/f.u.

No. 9
Entry from Alexandria via LeMat-Bulk: an optimized crystal structure of Si23Ge3 (PBE).

It has space group Pm-3n (No. 223), with a = 10.150 Å, b = 10.150 Å, c = 10.150 Å, α = 90.00°, β = 90.00° and γ = 90.00°. The distinct sites, in fractional coordinates, are Si at (0.000, 0.116, 0.310), Si at (0.000, 0.250, 0.500), Si at (0.184, 0.184, 0.184) and Ge at (0.000, 0.500, 0.250).

The formation energy (no corrections) is 0.27 eV per atom. Its total moment is 0.98 μB/f.u.

No. 10
Entry from Alexandria via LeMat-Bulk: an optimized crystal structure of DySc2Ga3 (PBE).

It has space group Cmmm (No. 65), with a = 5.767 Å, b = 10.005 Å, c = 4.569 Å, α = 90.00°, β = 90.00° and γ = 90.00°. The distinct sites, in fractional coordinates, are Dy at (0.000, 0.000, 0.000), Sc at (0.000, 0.334, 0.000), Ga at (0.000, 0.500, 0.500) and Ga at (0.250, 0.250, 0.500).

The value obtained for the energy of formation from the pure elements is -0.409 eV per atom. Its total moment is 0.00 μB/f.u. The value obtained for the excess energy over the best structure of this formula in the dataset is 102.7 kJ/mol of formula units.

No. 11
Entry from Alexandria via LeMat-Bulk: an optimized crystal structure of GdPu2Si (PBE).

It has space group P4/mmm (No. 123), with a = 4.408 Å, b = 4.408 Å, c = 4.868 Å, α = 90.00°, β = 90.00° and γ = 90.00°. The distinct sites, in fractional coordinates, are Gd at (0.000, 0.000, 0.000), Pu at (0.000, 0.500, 0.500) and Si at (0.500, 0.500, 0.000).

The formation energy (no corrections) is -0.22 eV per atom. Its total moment is 19.03 μB/f.u. The value obtained for the excess energy over the best structure of this formula in the dataset is 0.0 kJ/mol of formula units.

No. 12
Entry from Alexandria via LeMat-Bulk: an optimized crystal structure of P2AuBrCl (PBE).

It has space group P4/mmm (No. 123), with a = 4.925 Å, b = 4.925 Å, c = 4.976 Å, α = 90.00°, β = 90.00° and γ = 90.00°. The distinct sites, in fractional coordinates, are P at (0.000, 0.500, 0.000), Au at (0.000, 0.000, 0.000), Br at (0.500, 0.500, 0.500) and Cl at (0.000, 0.000, 0.500).

The formation energy (no corrections) is 0.80 eV per atom. Its total moment is 1.33 μB/f.u. The value obtained for the excess energy over the best structure of this formula in the dataset is 0.0 kJ/mol of formula units.

no.,D(E_F) (states/eV/cell),total DFT energy (no corrections) (eV/f.u.)
1,1.72,-13.5
2,32.87,-49.6
3,4.66,-14.0
4,59.83,-50.0
5,3.26,-25.6
6,31.98,-81.4
7,9.03,-25.6
8,25.42,-41.6
9,33.27,-131.6
10,7.17,-28.8
11,9.79,-49.0
12,3.66,-13.6